Entry 1:
GdPaOsAu | PBE-GGA | relaxed

abc: 4.990 4.990 4.990
angles: 60.00 60.00 60.00
Last column: magnetic moment on the atom in μB.
Sites, in units of the cell vectors:
Os  0.500  0.500  0.500  -0.11
Au  0.000  0.000  0.000  0.00
Pa  0.750  0.750  0.750  0.19
Gd  0.250  0.250  0.250  7.03

Output
For the density of states at the Fermi level, the calculation gives 1.4261 states/eV/atom. As for the crystal system: cubic. The energy of formation is -1.086 eV/f.u.

***

Entry 2:
Pa2SbI | PBE-GGA | relaxed

abc: 5.401 5.401 6.729
angles: 66.34 66.34 60.00
Last column: magnetic moment on the atom in μB.
Sites, in units of the cell vectors:
Pa  0.829  0.829  0.514  1.67
I  0.000  0.000  0.000  0.01
Sb  0.500  0.500  0.500  -0.04
Pa  0.171  0.171  0.486  1.67

Output
For the density of states at the Fermi level, the calculation gives 1.6845 states/eV/atom. For the uncorrected formation energy, the calculation gives 0.55 eV/f.u. As for the crystal system: trigonal. The excess energy over the best structure of this formula in the dataset comes out at 37.4 kJ per mole of atoms.

***

Entry 3:
CeEr2SiN4 | PBE-GGA | relaxed

abc: 3.363 5.964 11.445
angles: 90.00 90.00 106.38
Last column: magnetic moment on the atom in μB.
Sites, in units of the cell vectors:
Ce  0.088  0.176  0.750  0.85
N  0.266  0.532  0.371  -0.01
Si  0.824  0.649  0.750  0.00
Er  0.369  0.738  0.958  0.03
N  0.000  0.000  0.000  -0.01
Er  0.631  0.262  0.458  0.03
N  0.000  0.000  0.500  -0.01
N  0.594  0.188  0.250  -0.01
Si  0.176  0.351  0.250  0.00
Ce  0.912  0.824  0.250  0.85
N  0.266  0.532  0.129  -0.01
N  0.734  0.468  0.629  -0.01
N  0.734  0.468  0.871  -0.01
N  0.406  0.812  0.750  -0.01
Er  0.631  0.262  0.042  0.03
Er  0.369  0.738  0.542  0.03

Output
For the density of states at the Fermi level, the calculation gives 0.8008 states/eV/atom. For the uncorrected formation energy, the calculation gives -11.05 eV/f.u. As for the crystal system: orthorhombic.

***

Entry 4:
La3IrSeN | PBE-GGA | relaxed

abc: 4.137 8.915 9.468
angles: 100.29 90.00 90.00
Sites, in units of the cell vectors:
Ir  0.750  0.351  0.842
Ir  0.250  0.649  0.158
La  0.250  0.583  0.859
Se  0.250  0.166  0.207
La  0.750  0.169  0.509
N  0.750  0.914  0.401
Se  0.750  0.834  0.793
La  0.250  0.119  0.842
La  0.250  0.831  0.491
La  0.750  0.417  0.141
La  0.750  0.881  0.158
N  0.250  0.086  0.599

Output
For the density of states at the Fermi level, the calculation gives 0.4677 states/eV/atom. For the uncorrected formation energy, the calculation gives -7.66 eV/f.u. As for the crystal system: monoclinic.

***

Entry 5:
TmScAlIn | PBE-GGA | relaxed

abc: 3.349 3.349 8.011
angles: 90.00 90.00 90.00
Sites, in units of the cell vectors:
Tm  0.500  0.500  0.121
Al  0.000  0.000  0.369
In  0.000  0.000  0.845
Sc  0.500  0.500  0.593

Output
For the density of states at the Fermi level, the calculation gives 0.4228 states/eV/atom. As for the crystal system: tetragonal. The excess energy over the best structure of this formula in the dataset comes out at 0.0 kJ per mole of atoms. The energy of formation is -1.640 eV/f.u.

***

Entry 6:
YEr2ScIn2 | PBE-GGA | relaxed

abc: 5.262 6.662 9.126
angles: 90.00 90.00 90.00
Sites, in units of the cell vectors:
Sc  0.500  0.254  0.671
Er  0.500  0.008  0.003
Sc  0.500  0.754  0.329
In  0.000  0.259  0.826
Y  0.000  0.007  0.498
Er  0.500  0.508  0.997
In  0.000  0.759  0.174
In  0.500  0.257  0.341
In  0.500  0.757  0.659
Er  0.000  0.262  0.163
Y  0.000  0.507  0.502
Er  0.000  0.762  0.837

Output
For the density of states at the Fermi level, the calculation gives 1.1675 states/eV/atom. As for the crystal system: orthorhombic. The energy of formation is -2.175 eV/f.u.

***

Entry 7:
LiY2S | PBE-GGA | relaxed

abc: 3.750 3.750 8.918
angles: 77.86 77.86 59.96
Last column: magnetic moment on the atom in μB.
Sites, in units of the cell vectors:
Y  0.271  0.271  0.188  0.00
Y  0.062  0.062  0.812  0.07
Li  0.500  0.500  0.501  0.01
S  0.667  0.667  0.999  0.00

Output
For the density of states at the Fermi level, the calculation gives 0.8799 states/eV/atom. For the uncorrected formation energy, the calculation gives -3.43 eV/f.u. As for the crystal system: trigonal. The excess energy over the best structure of this formula in the dataset comes out at 0.0 kJ per mole of atoms.

***

Entry 8:
P2OsRu | PBE-GGA | relaxed

abc: 4.023 4.023 5.016
angles: 78.17 78.17 42.13
Sites, in units of the cell vectors:
Ru  0.250  0.250  0.250
P  0.499  0.499  0.503
P  0.001  0.001  0.997
Os  0.750  0.750  0.750

Output
For the density of states at the Fermi level, the calculation gives 0.6330 states/eV/atom. As for the crystal system: monoclinic. The excess energy over the best structure of this formula in the dataset comes out at 21.9 kJ per mole of atoms. The energy of formation is -0.478 eV/f.u.